VASP calculation (PBEsol) on a relaxed structure of Al5C4.

Cell: 6.580 6.580 5.915 Å, 90.00 90.00 90.00°
Space group I4/mmm (No. 139)
One atom of each set of equivalent atoms:
Al1 0.000 0.000 0.000 x2
Al2 0.208 0.208 0.500 x8
C1 0.000 0.397 0.000 x8

Values from the calculation:
theoretical density: 2372 kg/m³
calculated volume: 128.1 Å³/f.u.
ΔH_f (0 K): 1.013 eV/atom
N(E_F): 7.50 states/eV/cell
total magnetic moment: 0.00 μB/f.u.

=====

VASP calculation (PBEsol) on a relaxed structure of Al4C.

Cell: 3.377 3.377 14.144 Å, 90.00 90.00 90.00°
Space group I4/mmm (No. 139)
One atom of each set of equivalent atoms:
Al1 0.000 0.000 0.087 x4
Al2 0.000 0.500 0.250 x4
C1 0.000 0.000 0.500 x2

Values from the calculation:
theoretical density: 2469 kg/m³
calculated volume: 80.7 Å³/f.u.
ΔH_f (0 K): 1.196 eV/atom
N(E_F): 5.89 states/eV/cell
total magnetic moment: 0.00 μB/f.u.

=====

VASP calculation (PBEsol) on a relaxed structure of AlC.

Cell: 4.246 4.246 4.246 Å, 90.00 90.00 90.00°
Space group Fm-3m (No. 225)
One atom of each set of equivalent atoms:
Al1 0.000 0.000 0.000 x4
C1 0.000 0.000 0.500 x4

Values from the calculation:
theoretical density: 3384 kg/m³
calculated volume: 19.1 Å³/f.u.
ΔH_f (0 K): 0.448 eV/atom
N(E_F): 4.03 states/eV/cell
relative energy among the computed polymorphs: 0 meV per atom
total magnetic moment: 0.00 μB/f.u.